# 1
Here is an optimized crystal structure of Hf2AlPH from Alexandria via LeMat-Bulk. Energies are from PBE.

Results
Its space group is P4/mmm, No. 123. For the magnetic moment, the calculation gives 0.0 μB/f.u. The total DFT energy (no corrections) comes out at -6.52 eV per atom. The calculation puts the density of states at the Fermi level at 2.95 states/eV/f.u. As for the density: 8.05 g/cm3.

Lattice parameters (Å, degrees): 5.0710 5.0710 3.3350 90.00 90.00 90.00
Positions (direct):
Hf  0.0000  0.5000  0.0000
Hf  0.5000  0.0000  0.0000
Al  0.0000  0.0000  0.5000
P  0.5000  0.5000  0.0000
H  0.5000  0.5000  0.5000



# 2
Here is an optimized crystal structure of Hf2AlHPd from Alexandria via LeMat-Bulk. Energies are from PBE.

Results
Its space group is P4/mmm, No. 123. For the magnetic moment, the calculation gives 0.0 μB/f.u. The total DFT energy (no corrections) comes out at -6.85 eV per atom. The calculation puts the density of states at the Fermi level at 4.42 states/eV/f.u. As for the density: 10.77 g/cm3.

Lattice parameters (Å, degrees): 4.2981 4.2981 4.0996 90.00 90.00 90.00
Positions (direct):
Hf  0.0000  0.5000  0.0000
Hf  0.5000  0.0000  0.0000
Al  0.0000  0.0000  0.5000
H  0.5000  0.5000  0.0000
Pd  0.5000  0.5000  0.5000



# 3
Here is an optimized crystal structure of HfAlH2Pt from Alexandria via LeMat-Bulk. Energies are from PBE.

Results
Its space group is P4/mmm, No. 123. For the magnetic moment, the calculation gives 0.0 μB/f.u. The total DFT energy (no corrections) comes out at -5.06 eV per atom. The calculation puts the density of states at the Fermi level at 1.77 states/eV/f.u. As for the density: 8.30 g/cm3.

Lattice parameters (Å, degrees): 3.6814 3.6814 5.9441 90.00 90.00 90.00
Positions (direct):
Hf  0.0000  0.0000  0.0000
Al  0.0000  0.0000  0.5000
H  0.0000  0.5000  0.5000
H  0.5000  0.0000  0.5000
Pt  0.5000  0.5000  0.0000



# 4
Here is an optimized crystal structure of HfAl2HPt from Alexandria via LeMat-Bulk. Energies are from PBE.

Results
Its space group is P4/mmm, No. 123. For the magnetic moment, the calculation gives 0.0 μB/f.u. The total DFT energy (no corrections) comes out at -5.87 eV per atom. The calculation puts the density of states at the Fermi level at 1.78 states/eV/f.u. As for the density: 10.47 g/cm3.

Lattice parameters (Å, degrees): 4.1374 4.1374 3.9692 90.00 90.00 90.00
Positions (direct):
Hf  0.0000  0.0000  0.0000
Al  0.0000  0.5000  0.5000
Al  0.5000  0.0000  0.5000
H  0.0000  0.0000  0.5000
Pt  0.5000  0.5000  0.0000



# 5
Here is an optimized crystal structure of Hf2AlHRh from Alexandria via LeMat-Bulk. Energies are from PBE.

Results
Its space group is P4/mmm, No. 123. For the magnetic moment, the calculation gives 0.0 μB/f.u. The total DFT energy (no corrections) comes out at -7.35 eV per atom. The calculation puts the density of states at the Fermi level at 3.61 states/eV/f.u. As for the density: 10.93 g/cm3.

Lattice parameters (Å, degrees): 4.3402 4.3402 3.9342 90.00 90.00 90.00
Positions (direct):
Hf  0.0000  0.5000  0.0000
Hf  0.5000  0.0000  0.0000
Al  0.0000  0.0000  0.5000
H  0.5000  0.5000  0.0000
Rh  0.5000  0.5000  0.5000



# 6
Here is an optimized crystal structure of HfSc2AlH from Alexandria via LeMat-Bulk. Energies are from PBE.

Results
Its space group is P4/mmm, No. 123. For the magnetic moment, the calculation gives 0.0 μB/f.u. The total DFT energy (no corrections) comes out at -6.26 eV per atom. The calculation puts the density of states at the Fermi level at 5.23 states/eV/f.u. As for the density: 5.85 g/cm3.

Lattice parameters (Å, degrees): 4.3715 4.3715 4.4054 90.00 90.00 90.00
Positions (direct):
Hf  0.0000  0.0000  0.0000
Sc  0.0000  0.5000  0.5000
Sc  0.5000  0.0000  0.5000
Al  0.5000  0.5000  0.0000
H  0.0000  0.0000  0.5000



# 7
Here is an optimized crystal structure of HfTa2AlH from Alexandria via LeMat-Bulk. Energies are from PBE.

Results
Its space group is P4/mmm, No. 123. For the magnetic moment, the calculation gives 0.0 μB/f.u. The energy above the most stable polymorph in this dataset is 0 meV per atom. The calculation puts the density of states at the Fermi level at 3.41 states/eV/f.u. As for the density: 12.44 g/cm3.

Lattice parameters (Å, degrees): 4.0743 4.0743 4.5720 90.00 90.00 90.00
Positions (direct):
Hf  0.0000  0.0000  0.0000
Ta  0.0000  0.5000  0.5000
Ta  0.5000  0.0000  0.5000
Al  0.5000  0.5000  0.0000
H  0.0000  0.0000  0.5000



# 8
Here is an optimized crystal structure of HfTa2AlH from Alexandria via LeMat-Bulk. Energies are from PBE.

Results
Its space group is P4/mmm, No. 123. For the magnetic moment, the calculation gives 0.0 μB/f.u. The energy above the most stable polymorph in this dataset is 26 meV per atom. The calculation puts the density of states at the Fermi level at 2.45 states/eV/f.u. As for the density: 12.33 g/cm3.

Lattice parameters (Å, degrees): 4.0383 4.0383 4.6942 90.00 90.00 90.00
Positions (direct):
Hf  0.0000  0.0000  0.0000
Ta  0.0000  0.5000  0.5000
Ta  0.5000  0.0000  0.5000
Al  0.5000  0.5000  0.0000
H  0.5000  0.5000  0.5000



# 9
Here is an optimized crystal structure of Hf2AlTcH from Alexandria via LeMat-Bulk. Energies are from PBE.

Results
Its space group is P4/mmm, No. 123. For the magnetic moment, the calculation gives 0.0 μB/f.u. The total DFT energy (no corrections) comes out at -7.83 eV per atom. The calculation puts the density of states at the Fermi level at 2.57 states/eV/f.u. As for the density: 10.74 g/cm3.

Lattice parameters (Å, degrees): 4.5080 4.5080 3.6752 90.00 90.00 90.00
Positions (direct):
Hf  0.0000  0.5000  0.0000
Hf  0.5000  0.0000  0.0000
Al  0.0000  0.0000  0.5000
Tc  0.5000  0.5000  0.5000
H  0.5000  0.5000  0.0000



# 10
Here is an optimized crystal structure of Hf2TiAlH from Alexandria via LeMat-Bulk. Energies are from PBE.

Results
Its space group is P4/mmm, No. 123. For the magnetic moment, the calculation gives 0.0 μB/f.u. The energy above the most stable polymorph in this dataset is 149 meV per atom. The calculation puts the density of states at the Fermi level at 6.14 states/eV/f.u. As for the density: 9.08 g/cm3.

Lattice parameters (Å, degrees): 4.1682 4.1682 4.5568 90.00 90.00 90.00
Positions (direct):
Hf  0.0000  0.5000  0.0000
Hf  0.5000  0.0000  0.0000
Ti  0.0000  0.0000  0.5000
Al  0.5000  0.5000  0.5000
H  0.5000  0.5000  0.0000



# 11
Here is an optimized crystal structure of HfTi2AlH from Alexandria via LeMat-Bulk. Energies are from PBE.

Results
Its space group is P4/mmm, No. 123. For the magnetic moment, the calculation gives 0.5 μB/f.u. The energy above the most stable polymorph in this dataset is 140 meV per atom. The calculation puts the density of states at the Fermi level at 6.54 states/eV/f.u. As for the density: 6.82 g/cm3.

Lattice parameters (Å, degrees): 4.0141 4.0141 4.5670 90.00 90.00 90.00
Positions (direct):
Hf  0.0000  0.0000  0.0000
Ti  0.0000  0.5000  0.5000
Ti  0.5000  0.0000  0.5000
Al  0.5000  0.5000  0.0000
H  0.5000  0.5000  0.5000



# 12
Here is an optimized crystal structure of Hf2TiAlH from Alexandria via LeMat-Bulk. Energies are from PBE.

Results
Its space group is P4/mmm, No. 123. For the magnetic moment, the calculation gives 0.0 μB/f.u. The energy above the most stable polymorph in this dataset is 0 meV per atom. The calculation puts the density of states at the Fermi level at 2.60 states/eV/f.u. As for the density: 9.25 g/cm3.

Lattice parameters (Å, degrees): 4.3259 4.3259 4.1506 90.00 90.00 90.00
Positions (direct):
Hf  0.0000  0.5000  0.0000
Hf  0.5000  0.0000  0.0000
Ti  0.0000  0.0000  0.5000
Al  0.5000  0.5000  0.5000
H  0.0000  0.0000  0.0000



# 13
Here is an optimized crystal structure of HfTi2AlH from Alexandria via LeMat-Bulk. Energies are from PBE.

Results
Its space group is P4/mmm, No. 123. For the magnetic moment, the calculation gives 0.0 μB/f.u. The energy above the most stable polymorph in this dataset is 0 meV per atom. The calculation puts the density of states at the Fermi level at 2.86 states/eV/f.u. As for the density: 6.92 g/cm3.

Lattice parameters (Å, degrees): 4.1401 4.1401 4.2332 90.00 90.00 90.00
Positions (direct):
Hf  0.0000  0.0000  0.0000
Ti  0.0000  0.5000  0.5000
Ti  0.5000  0.0000  0.5000
Al  0.5000  0.5000  0.0000
H  0.0000  0.0000  0.5000



# 14
Here is an optimized crystal structure of YHf2AlH from Alexandria via LeMat-Bulk. Energies are from PBE.

Results
Its space group is P4/mmm, No. 123. For the magnetic moment, the calculation gives 0.0 μB/f.u. The total DFT energy (no corrections) comes out at -6.92 eV per atom. The calculation puts the density of states at the Fermi level at 2.17 states/eV/f.u. As for the density: 8.71 g/cm3.

Lattice parameters (Å, degrees): 4.4372 4.4372 4.5870 90.00 90.00 90.00
Positions (direct):
Y  0.0000  0.0000  0.0000
Hf  0.0000  0.5000  0.5000
Hf  0.5000  0.0000  0.5000
Al  0.5000  0.5000  0.0000
H  0.0000  0.0000  0.5000



# 15
Here is an optimized crystal structure of YHfAlH2 from Alexandria via LeMat-Bulk. Energies are from PBE.

Results
Its space group is P4/mmm, No. 123. For the magnetic moment, the calculation gives 0.0 μB/f.u. The total DFT energy (no corrections) comes out at -4.31 eV per atom. The calculation puts the density of states at the Fermi level at 3.76 states/eV/f.u. As for the density: 4.99 g/cm3.

Lattice parameters (Å, degrees): 4.0465 4.0465 6.0290 90.00 90.00 90.00
Positions (direct):
Y  0.0000  0.0000  0.0000
Hf  0.5000  0.5000  0.0000
Al  0.0000  0.0000  0.5000
H  0.0000  0.5000  0.5000
H  0.5000  0.0000  0.5000